1.
This record from Alexandria describes an optimized crystal structure of Pr4InN. The functional is PBE.

```
Pr4InN
1.0
-1.3539 -4.9475 1.1453
1.9674 0.8249 -6.1700
7.5363 1.3609 14.7878
Pr N In
8 2 2
direct
0.6387 0.2774 0.6683
0.1813 0.3626 0.5410
0.9272 0.8544 0.2216
0.8187 0.6374 0.4590
0.4557 0.9114 0.8679
0.5443 0.0886 0.1321
0.3613 0.7226 0.3317
0.0728 0.1456 0.7784
0.1360 0.2719 0.6680
0.8640 0.7281 0.3320
0.1713 0.3425 0.0496
0.8287 0.6575 0.9504
```

SG: C2/m, No. 12

2.
This record from Alexandria describes an optimized crystal structure of Pr2PuInN. The functional is PBE.

```
Pr2PuInN
1.0
-0.8933 -3.1941 -3.3122
-0.0494 -3.7077 3.5889
-5.0656 0.7189 0.6729
N Pr In Pu
1 2 1 1
direct
0.0000 0.0000 0.0000
0.0000 0.5000 0.0000
0.0000 0.0000 0.5000
0.5000 0.5000 0.5000
0.5000 0.0000 0.0000
```

SG: P4/mmm, No. 123

3.
This record from Alexandria describes an optimized crystal structure of PrSm2InN. The functional is PBE.

```
PrSm2InN
1.0
5.0782 0.0000 0.0000
0.0000 4.9678 0.0000
0.0000 0.0000 4.9678
Sm Pr N In
2 1 1 1
direct
0.0000 0.5000 0.0000
0.0000 0.0000 0.5000
0.5000 0.0000 0.0000
0.0000 0.0000 0.0000
0.5000 0.5000 0.5000
```

SG: P4/mmm, No. 123

4.
This record from Alexandria describes an optimized crystal structure of Pr12SmIn4N3. The functional is PBE.

```
Pr12SmIn4N3
1.0
-2.0150 4.7575 7.3560
-7.1019 -4.9616 -2.3981
6.9755 -5.3965 1.7393
Sm Pr N In
1 12 3 4
direct
0.0000 0.0000 0.0000
0.7254 0.0000 0.7254
0.2746 0.0000 0.2746
0.2746 0.2746 0.0000
0.0000 0.2746 0.2746
0.5000 0.7500 0.2500
0.0000 0.7254 0.7254
0.7500 0.2500 0.5000
0.7500 0.5000 0.2500
0.2500 0.7500 0.5000
0.7254 0.7254 0.0000
0.2500 0.5000 0.7500
0.5000 0.2500 0.7500
0.5000 0.5000 0.0000
0.5000 0.0000 0.5000
0.0000 0.5000 0.5000
0.5000 0.5000 0.5000
0.0000 0.0000 0.5000
0.0000 0.5000 0.0000
0.5000 0.0000 0.0000
```

SG: Im-3m, No. 229

5.
This record from Alexandria describes an optimized crystal structure of PrSmInN3. The functional is PBE.

```
PrSmInN3
1.0
3.5053 0.0000 0.0000
0.0000 6.0244 0.4828
0.0000 -2.1421 8.7198
N Sm In Pr
6 2 2 2
direct
0.7500 0.2494 0.5145
0.7500 0.5395 0.1637
0.2500 0.9562 0.8335
0.2500 0.4605 0.8363
0.2500 0.7506 0.4855
0.7500 0.0438 0.1665
0.2500 0.7615 0.0510
0.7500 0.2385 0.9490
0.7500 0.8493 0.3584
0.2500 0.1507 0.6416
0.2500 0.3374 0.3091
0.7500 0.6626 0.6909
```

SG: P2_1/m, No. 11

6.
This record from Alexandria describes an optimized crystal structure of Tb2PrInN. The functional is PBE.

```
Tb2PrInN
1.0
5.0691 0.0000 0.0000
0.0000 4.8674 0.0000
0.0000 0.0000 4.8674
Tb In Pr N
2 1 1 1
direct
0.0000 0.5000 0.0000
0.0000 0.0000 0.5000
0.5000 0.5000 0.5000
0.5000 0.0000 0.0000
0.0000 0.0000 0.0000
```

SG: P4/mmm, No. 123

7.
This record from Alexandria describes an optimized crystal structure of Pr2YInN. The functional is PBE.

```
Pr2YInN
1.0
-0.8173 4.7484 -0.3528
-4.8832 -0.7470 1.2584
1.1823 0.5695 4.9260
N Y Pr In
1 1 2 1
direct
0.0000 0.0000 0.0000
0.5000 0.0000 0.0000
0.0000 0.0000 0.5000
0.0000 0.5000 0.0000
0.5000 0.5000 0.5000
```

SG: P4/mmm, No. 123

8.
This record from Alexandria describes an optimized crystal structure of PrYInN3. The functional is PBE.

```
PrYInN3
1.0
3.4127 0.0000 0.0000
0.0000 6.6116 0.8344
0.0000 -1.8381 9.3400
N Pr Y In
6 2 2 2
direct
0.2500 0.5959 0.8700
0.7500 0.1973 0.4530
0.2500 0.8027 0.5470
0.7500 0.8945 0.1865
0.2500 0.1055 0.8135
0.7500 0.4041 0.1300
0.2500 0.1925 0.2445
0.7500 0.8075 0.7555
0.7500 0.3337 0.8930
0.2500 0.6663 0.1070
0.7500 0.8313 0.4087
0.2500 0.1687 0.5913
```

SG: P2_1/m, No. 11

| no. | E_form (uncorrected) (eV per formula unit) | magnetic moment (μB per formula unit) |
| --- | --- | --- |
| 1 | -3.4 | 0.0 |
| 2 | -3.6 | 5.6 |
| 3 | -4.4 | 0.0 |
| 4 | -8.7 | 0.0 |
| 5 | -4.9 | 0.0 |
| 6 | -4.6 | 0.0 |
| 7 | -4.4 | 0.0 |
| 8 | -4.4 | 0.0 |